# 1
First-principles (PBE-GGA) data for crystalline BiTePt3 at its relaxed geometry, as listed in the Alexandria database.

abc: 4.9912 4.9912 4.9912
angles: 90.00 90.00 90.00
Last column: nearest neighbours and their distance in Å.
Space group Pm-3m (No. 221)
One atom of each set of equivalent atoms:
Bi 0.0000 0.0000 0.0000  12 Pt 3.53
Te 0.5000 0.5000 0.5000  6 Pt 2.50
Pt 0.0000 0.5000 0.5000  2 Te 2.50

Output
Crystal system: cubic
DOS(E_F): 0.8370 states/eV per atom
Raw formation energy: 548 meV per atom

---

# 2
First-principles (PBE-GGA) data for crystalline BiTePt2 at its relaxed geometry, as listed in the Alexandria database.

abc: 6.9596 6.9596 6.9596
angles: 90.00 90.00 90.00
Last column: nearest neighbours and their distance in Å.
Space group Fm-3m (No. 225)
One atom of each set of equivalent atoms:
Bi 0.0000 0.0000 0.0000  8 Pt 3.01
Te 0.0000 0.0000 0.5000  8 Pt 3.01
Pt 0.2500 0.2500 0.2500  4 Bi 3.01, 4 Te 3.01

Output
Crystal system: cubic
DOS(E_F): 0.3560 states/eV per atom
Raw formation energy: 19 meV per atom